(1)
Here is a relaxed structure of KZnAg3 from the Alexandria database. Energies are from GGA-PBE.

Calculated values
Electronic total energy = -0.0750 Ry per atom
Calculated formation energy = 1.164 eV/atom

Geometry as CIF:
```
data_KZnAg3
_chemical_formula_sum 'K1 Zn1 Ag3'
_cell_length_a 5.821
_cell_length_b 5.821
_cell_length_c 5.821
_cell_angle_alpha 90.00
_cell_angle_beta 90.00
_cell_angle_gamma 90.00
_symmetry_space_group_name_H-M 'P m -3 m'
_symmetry_Int_Tables_number 221
_symmetry_space_group_name_Hall '-P 4 2 3'
loop_
_atom_site_label
_atom_site_fract_x
_atom_site_fract_y
_atom_site_fract_z
K1 0.000 0.000 0.000
Zn1 0.500 0.500 0.500
Ag1 0.000 0.000 0.500
```

(2)
Here is a relaxed structure of KZn5Ag7 from the Alexandria database. Energies are from GGA-PBE.

Calculated values
Electronic total energy = -0.1565 Ry per atom
Calculated formation energy = -0.020 eV/atom

Geometry as CIF:
```
data_KZn5Ag7
_chemical_formula_sum 'K2 Zn10 Ag14'
_cell_length_a 5.333
_cell_length_b 9.404
_cell_length_c 9.477
_cell_angle_alpha 90.00
_cell_angle_beta 90.00
_cell_angle_gamma 90.00
_symmetry_space_group_name_H-M 'I m m 2'
_symmetry_Int_Tables_number 44
_symmetry_space_group_name_Hall 'I 2 -2'
loop_
_atom_site_label
_atom_site_fract_x
_atom_site_fract_y
_atom_site_fract_z
K1 0.000 0.000 0.000
Zn1 0.000 0.500 0.735
Zn2 0.250 0.247 0.254
Ag1 0.000 0.000 0.347
Ag2 0.000 0.000 0.650
Ag3 0.000 0.282 0.506
Ag4 0.000 0.350 0.003
Ag5 0.000 0.500 0.278
```

(3)
Here is a relaxed structure of K2ZnAg2 from the Alexandria database. Energies are from GGA-PBE.

Calculated values
Electronic total energy = -0.1252 Ry per atom
Calculated formation energy = 0.131 eV/atom

Geometry as CIF:
```
data_K2ZnAg2
_chemical_formula_sum 'K4 Zn2 Ag4'
_cell_length_a 6.599
_cell_length_b 6.599
_cell_length_c 7.903
_cell_angle_alpha 90.00
_cell_angle_beta 90.00
_cell_angle_gamma 90.00
_symmetry_space_group_name_H-M 'I 4/m m m'
_symmetry_Int_Tables_number 139
_symmetry_space_group_name_Hall '-I 4 2'
loop_
_atom_site_label
_atom_site_fract_x
_atom_site_fract_y
_atom_site_fract_z
K1 0.000 0.500 0.250
Zn1 0.000 0.000 0.000
Ag1 0.000 0.000 0.329
```

(4)
Here is a relaxed structure of KZn3Ag from the Alexandria database. Energies are from GGA-PBE.

Calculated values
Electronic total energy = -0.1080 Ry per atom
Calculated formation energy = 0.085 eV/atom

Geometry as CIF:
```
data_KZn3Ag
_chemical_formula_sum 'K4 Zn12 Ag4'
_cell_length_a 5.532
_cell_length_b 6.912
_cell_length_c 11.144
_cell_angle_alpha 90.00
_cell_angle_beta 90.00
_cell_angle_gamma 90.00
_symmetry_space_group_name_H-M 'I m m a'
_symmetry_Int_Tables_number 74
_symmetry_space_group_name_Hall '-I 2b 2'
loop_
_atom_site_label
_atom_site_fract_x
_atom_site_fract_y
_atom_site_fract_z
K1 0.000 0.250 0.012
Zn1 0.000 0.250 0.312
Zn2 0.250 0.065 0.750
Ag1 0.000 0.000 0.500
```

(5)
Here is a relaxed structure of K2ZnAg from the Alexandria database. Energies are from GGA-PBE.

Calculated values
Electronic total energy = -0.1136 Ry per atom
Calculated formation energy = 0.034 eV/atom

Geometry as CIF:
```
data_K2ZnAg
_chemical_formula_sum 'K8 Zn4 Ag4'
_cell_length_a 10.438
_cell_length_b 8.425
_cell_length_c 6.139
_cell_angle_alpha 90.00
_cell_angle_beta 90.00
_cell_angle_gamma 90.00
_symmetry_space_group_name_H-M 'C m c m'
_symmetry_Int_Tables_number 63
_symmetry_space_group_name_Hall '-C 2c 2'
loop_
_atom_site_label
_atom_site_fract_x
_atom_site_fract_y
_atom_site_fract_z
K1 0.176 0.146 0.250
Zn1 0.000 0.500 0.000
Ag1 0.000 0.241 0.750
```

(6)
Here is a relaxed structure of KZn6Ag3 from the Alexandria database. Energies are from GGA-PBE.

Calculated values
Electronic total energy = -0.1239 Ry per atom
Calculated formation energy = 0.044 eV/atom

Geometry as CIF:
```
data_KZn6Ag3
_chemical_formula_sum 'K2 Zn12 Ag6'
_cell_length_a 6.734
_cell_length_b 7.269
_cell_length_c 8.745
_cell_angle_alpha 90.00
_cell_angle_beta 118.24
_cell_angle_gamma 90.00
_symmetry_space_group_name_H-M 'P 1 21/c 1'
_symmetry_Int_Tables_number 14
_symmetry_space_group_name_Hall '-P 2ybc'
loop_
_atom_site_label
_atom_site_fract_x
_atom_site_fract_y
_atom_site_fract_z
K1 0.000 0.000 0.000
Zn1 0.161 0.003 0.663
Zn2 0.242 0.687 0.903
Zn3 0.494 0.745 0.748
Ag1 0.233 0.175 0.396
Ag2 0.500 0.000 0.000
```